## PmGdMo4 (PBE-GGA)

Data for crystalline PmGdMo4 at its relaxed geometry.

Results
Electronic total energy in eV per atom: -10.168
ΔH_f (0 K) in eV/atom: 0.191

Unit cell a=7.859 b=7.859 c=7.859 alpha=90.00 beta=90.00 gamma=90.00
Space group F-43m (No. 216)
Asymmetric unit:
Pm 0.000 0.000 0.000 x4
Gd 0.250 0.250 0.250 x4
Mo 0.125 0.125 0.625 x16